Below is crystalline Pr7Ho2Sc2 at its relaxed geometry, with properties calculated at the GGA-PBE level.

Mass density: 6.04 g cm⁻³
Final energy: -51.5 eV/cell

Structure (CIF):
```
data_Pr7Ho2Sc2
_cell_length_a 6.704
_cell_length_b 10.139
_cell_length_c 6.704
_cell_angle_alpha 90.00
_cell_angle_beta 121.99
_cell_angle_gamma 90.00
_symmetry_space_group_name_H-M 'P 1'
_symmetry_Int_Tables_number 1
loop_
_symmetry_equiv_pos_as_xyz
'x,y,z'
loop_
_atom_site_label
_atom_site_fract_x
_atom_site_fract_y
_atom_site_fract_z
_atom_site_occupancy
Sc1 0.747 0.500 0.747 1
Sc2 0.253 0.500 0.253 1
Pr1 0.500 0.209 0.500 1
Pr2 0.500 0.683 0.000 1
Pr3 0.500 0.791 0.500 1
Pr4 0.500 0.317 0.000 1
Pr5 0.000 0.000 0.000 1
Pr6 0.000 0.683 0.500 1
Pr7 0.000 0.317 0.500 1
Ho1 0.286 0.000 0.714 1
Ho2 0.714 0.000 0.286 1
```


Below is crystalline PrHoSc3 at its relaxed geometry, with properties calculated at the GGA-PBE level.

Mass density: 5.23 g cm⁻³
Final energy: -56.3 eV/cell

Structure (CIF):
```
data_PrHoSc3
_cell_length_a 6.185
_cell_length_b 6.732
_cell_length_c 9.010
_cell_angle_alpha 69.19
_cell_angle_beta 64.19
_cell_angle_gamma 57.05
_symmetry_space_group_name_H-M 'P 1'
_symmetry_Int_Tables_number 1
loop_
_symmetry_equiv_pos_as_xyz
'x,y,z'
loop_
_atom_site_label
_atom_site_fract_x
_atom_site_fract_y
_atom_site_fract_z
_atom_site_occupancy
Sc1 0.592 0.284 0.982 1
Sc2 0.412 0.453 0.336 1
Sc3 0.006 0.244 0.148 1
Sc4 0.014 0.743 0.143 1
Sc5 0.420 0.953 0.331 1
Sc6 0.834 0.912 0.497 1
Ho1 0.826 0.415 0.513 1
Ho2 0.600 0.781 0.966 1
Pr1 0.248 0.330 0.741 1
Pr2 0.179 0.867 0.738 1
```


no.,formation energy (eV per formula unit)
1,3.8
2,0.2